# 1
Entry from the Alexandria database: a relaxed TlPtCl2 crystal (PBE-GGA).

Summary:
For the formation energy without anion corrections, the calculation gives -0.32 eV per atom. Its space-group type is No. 38. The calculation puts the volume at 26.0 Å³ per atom.

The structure in POSCAR format:
```
TlPtCl2
1.0
4.3044 0.0000 0.0000
0.0000 5.5408 -0.0007
0.0000 3.4177 4.3611
Pt Cl Tl
1 2 1
Direct
0.0000 0.5063 0.5062
0.0000 0.9837 0.9837
0.5000 0.3362 0.3360
0.5000 0.6738 0.6741
```


# 2
Entry from the Alexandria database: a relaxed YTlPt2Cl crystal (PBE-GGA).

Summary:
For the formation energy without anion corrections, the calculation gives 0.52 eV per atom. Its space-group type is No. 123. The calculation puts the volume at 29.7 Å³ per atom.

The structure in POSCAR format:
```
YTlPt2Cl
1.0
-3.4641 3.2121 -1.7237
-3.5674 -1.4688 4.4321
1.9919 3.6594 2.8160
Y Cl Pt Tl
1 1 2 1
Direct
0.0000 0.5000 0.0000
0.5000 0.5000 0.5000
0.0000 0.0000 0.5000
0.5000 0.0000 0.0000
0.0000 0.0000 0.0000
```


# 3
Entry from the Alexandria database: a relaxed VPt2Cl crystal (PBE-GGA).

Summary:
For the formation energy without anion corrections, the calculation gives 0.29 eV per atom. Its space-group type is No. 122. The calculation puts the volume at 20.8 Å³ per atom.

The structure in POSCAR format:
```
VPt2Cl
1.0
-5.9821 0.0535 -2.1538
0.3076 -6.2699 -1.0102
-4.2174 -3.7908 2.2344
Pt Cl V
4 2 2
Direct
0.0940 0.6250 0.2500
0.3750 0.3440 0.7500
0.8750 0.9060 0.7500
0.6560 0.1250 0.2500
0.5000 0.5000 0.0000
0.2500 0.7500 0.5000
0.0000 0.0000 0.0000
0.7500 0.2500 0.5000
```


# 4
Entry from the Alexandria database: a relaxed VPtCl3 crystal (PBE-GGA).

Summary:
For the formation energy without anion corrections, the calculation gives 0.07 eV per atom. Its space-group type is No. 221. The calculation puts the volume at 21.7 Å³ per atom.

The structure in POSCAR format:
```
VPtCl3
1.0
-4.6278 -0.9396 -0.6732
0.3807 -3.8623 2.7731
-1.0914 2.6367 3.8222
Pt Cl V
1 3 1
Direct
0.5000 0.5000 0.5000
0.0000 0.0000 0.5000
0.5000 0.0000 0.0000
0.0000 0.5000 0.0000
0.0000 0.0000 0.0000
```


# 5
Entry from the Alexandria database: a relaxed VPt2Cl crystal (PBE-GGA).

Summary:
For the formation energy without anion corrections, the calculation gives 0.39 eV per atom. Its space-group type is No. 225. The calculation puts the volume at 16.2 Å³ per atom.

The structure in POSCAR format:
```
VPt2Cl
1.0
-3.2269 -1.3990 2.8150
-3.1943 2.8671 1.3678
-4.2300 -0.4687 -1.4772
V Pt Cl
1 2 1
Direct
0.5000 0.5000 0.5000
0.2500 0.2500 0.2500
0.7500 0.7500 0.7500
0.0000 0.0000 0.0000
```


# 6
Entry from the Alexandria database: a relaxed VPtCl3 crystal (PBE-GGA).

Summary:
For the formation energy without anion corrections, the calculation gives 0.25 eV per atom. Its space-group type is No. 221. The calculation puts the volume at 23.6 Å³ per atom.

The structure in POSCAR format:
```
VPtCl3
1.0
-3.7788 2.8801 -1.2181
-3.1269 -3.4555 1.5297
0.0400 1.9550 4.4983
V Cl Pt
1 3 1
Direct
0.5000 0.5000 0.5000
0.0000 0.5000 0.0000
0.0000 0.0000 0.5000
0.5000 0.0000 0.0000
0.0000 0.0000 0.0000
```


# 7
Entry from the Alexandria database: a relaxed PtW2Cl crystal (PBE-GGA).

Summary:
For the formation energy without anion corrections, the calculation gives 0.50 eV per atom. Its space-group type is No. 8. The calculation puts the volume at 16.8 Å³ per atom.

The structure in POSCAR format:
```
PtW2Cl
1.0
-2.3718 -4.6412 -1.4460
-1.3825 -5.1095 1.1133
-4.7761 -0.6138 1.7341
Pt Cl W
1 1 2
Direct
0.2754 0.2754 0.1722
0.4727 0.4727 0.5253
0.7381 0.7381 0.6984
0.0138 0.0138 0.1041
```


# 8
Entry from the Alexandria database: a relaxed PtW2Cl crystal (PBE-GGA).

Summary:
For the formation energy without anion corrections, the calculation gives 0.64 eV per atom. Its space-group type is No. 225. The calculation puts the volume at 15.6 Å³ per atom.

The structure in POSCAR format:
```
PtW2Cl
1.0
-3.2834 0.9477 2.8547
-3.9876 1.2578 -1.5312
-3.4912 -2.7395 0.3669
Cl Pt W
1 1 2
Direct
0.0000 0.0000 0.0000
0.5000 0.5000 0.5000
0.7500 0.7500 0.7500
0.2500 0.2500 0.2500
```